# 1
{
  "formula": "YTaCl",
  "functional": "GGA-PBE",
  "state": "optimized geometry",
  "lattice": [[0.000, 3.582, 3.582], [3.582, 0.000, 3.582], [3.582, 3.582, 0.000]],
  "species": ["Y", "Ta", "Cl"],
  "fractional_positions": [[0.000, 0.000, 0.000], [0.750, 0.750, 0.750], [0.500, 0.500, 0.500]],
  "e_form_raw_mev_per_atom": 1162,
  "e_above_lowest_polymorph_mev_per_atom": 1309,
  "vol_a3_per_atom": 30.6,
  "m_tot_mub_per_cell": 5.0
}


# 2
{
  "formula": "ZrAl3Ni",
  "functional": "GGA-PBE",
  "state": "optimized geometry",
  "lattice": [[6.196, 0.000, 0.000], [0.000, 6.196, 0.000], [0.000, 0.000, 6.196]],
  "species": ["Zr", "Zr", "Zr", "Al", "Al", "Al", "Al", "Al", "Al", "Al", "Al", "Al", "Ni", "Ni", "Ni"],
  "fractional_positions": [[0.000, 0.000, 0.500], [0.000, 0.500, 0.000], [0.500, 0.000, 0.000], [0.000, 0.000, 0.000], [0.287, 0.287, 0.287], [0.287, 0.287, 0.713], [0.287, 0.713, 0.287], [0.287, 0.713, 0.713], [0.713, 0.287, 0.287], [0.713, 0.287, 0.713], [0.713, 0.713, 0.287], [0.713, 0.713, 0.713], [0.000, 0.500, 0.500], [0.500, 0.000, 0.500], [0.500, 0.500, 0.000]],
  "delta_e_f_ev_per_atom": -0.489,
  "vol_a3_per_atom": 15.9,
  "m_tot_mub_per_cell": 0.0
}


# 3
{
  "formula": "CuSbPt",
  "functional": "GGA-PBE",
  "state": "optimized geometry",
  "lattice": [[-1.794, 1.794, 4.009], [1.794, -1.794, 4.009], [1.794, 1.794, -4.009]],
  "species": ["Cu", "Sb", "Pt"],
  "fractional_positions": [[0.000, 0.000, 0.000], [0.322, 0.322, 0.000], [0.664, 0.664, 0.000]],
  "e_form_raw_mev_per_atom": -141,
  "e_above_lowest_polymorph_mev_per_atom": 105,
  "vol_a3_per_atom": 17.2,
  "m_tot_mub_per_cell": 0.0
}